[1]
A relaxed structure of TePb2S4. Source: the Alexandria database, functional PBE.

POSCAR file:
```
TePb2S4
1.0
8.173 0.000 0.255
0.000 6.669 0.000
-2.489 0.000 7.773
S Pb Te
8 4 2
Direct
0.984 0.750 0.847
0.016 0.250 0.153
0.247 0.750 0.350
0.575 0.484 0.243
0.575 0.016 0.243
0.425 0.984 0.757
0.425 0.516 0.757
0.753 0.250 0.650
0.083 0.250 0.854
0.657 0.750 0.612
0.343 0.250 0.388
0.917 0.750 0.146
0.388 0.750 0.124
0.612 0.250 0.876
```

The space group is P2_1/m, No. 11. The uncorrected formation energy is -0.17 eV per atom. The calculation puts the magnetic moment at 0.00 μB/f.u.

[2]
A relaxed structure of TePb2S. Source: the Alexandria database, functional PBE.

POSCAR file:
```
TePb2S
1.0
-0.541 3.064 4.439
-0.916 5.322 -0.475
-4.848 2.044 1.309
Pb S Te
2 1 1
Direct
0.750 0.750 0.750
0.250 0.250 0.250
0.000 0.000 0.000
0.500 0.500 0.500
```

The space group is Fm-3m, No. 225. The uncorrected formation energy is -0.18 eV per atom. The calculation puts the magnetic moment at 0.00 μB/f.u. The density of states at the Fermi level is 0.41 states/eV per atom.

[3]
A relaxed structure of TePbS2. Source: the Alexandria database, functional PBE.

POSCAR file:
```
TePbS2
1.0
5.475 0.000 0.000
0.000 5.475 0.000
2.737 2.737 8.180
Te S Pb
2 4 2
Direct
0.250 0.750 0.500
0.500 0.500 0.000
0.588 0.125 0.250
0.875 0.838 0.750
0.375 0.412 0.750
0.162 0.625 0.250
0.000 0.000 0.000
0.750 0.250 0.500
```

The space group is I-42d, No. 122. The uncorrected formation energy is 0.04 eV per atom. The calculation puts the magnetic moment at 0.00 μB/f.u. The density of states at the Fermi level is 0.00 states/eV per atom.

[4]
A relaxed structure of TePb3S. Source: the Alexandria database, functional PBE.

POSCAR file:
```
TePb3S
1.0
-0.113 -5.458 2.443
5.931 -0.414 -0.651
0.763 2.410 5.420
S Pb Te
1 3 1
Direct
0.500 0.500 0.500
0.500 0.000 0.000
0.000 0.500 0.000
0.000 0.000 0.500
0.000 0.000 0.000
```

The space group is Pm-3m, No. 221. The uncorrected formation energy is 0.63 eV per atom. The calculation puts the magnetic moment at 0.00 μB/f.u. The density of states at the Fermi level is 1.03 states/eV per atom.

[5]
A relaxed structure of Te3PbS. Source: the Alexandria database, functional PBE.

POSCAR file:
```
Te3PbS
1.0
5.883 0.000 0.000
0.000 5.883 0.000
0.000 0.000 5.883
Te Pb S
3 1 1
Direct
0.500 0.000 0.000
0.000 0.500 0.000
0.000 0.000 0.500
0.000 0.000 0.000
0.500 0.500 0.500
```

The space group is Pm-3m, No. 221. The uncorrected formation energy is 1.01 eV per atom. The calculation puts the magnetic moment at 2.26 μB/f.u. The density of states at the Fermi level is 1.73 states/eV per atom.

[6]
A relaxed structure of TePbS2. Source: the Alexandria database, functional PBE.

POSCAR file:
```
TePbS2
1.0
2.320 0.000 8.506
-1.160 2.009 8.506
-1.160 -2.009 8.506
S Te Pb
2 1 1
Direct
0.100 0.100 0.100
0.900 0.900 0.900
0.000 0.000 0.000
0.500 0.500 0.500
```

The space group is R-3m, No. 166. The uncorrected formation energy is -0.03 eV per atom. The calculation puts the magnetic moment at 0.00 μB/f.u. The density of states at the Fermi level is 1.16 states/eV per atom.

[7]
A relaxed structure of TePb4S5. Source: the Alexandria database, functional PBE.

POSCAR file:
```
TePb4S5
1.0
6.045 0.000 0.000
3.022 6.624 0.000
3.022 0.000 6.624
S Pb Te
5 4 1
Direct
0.500 0.000 0.000
0.715 0.189 0.383
0.098 0.617 0.189
0.904 0.383 0.811
0.287 0.811 0.617
0.598 0.606 0.202
0.405 0.394 0.798
0.203 0.202 0.394
0.800 0.798 0.606
0.000 0.000 0.000
```

The space group is I4, No. 79. The uncorrected formation energy is -0.32 eV per atom. The calculation puts the magnetic moment at 0.00 μB/f.u. The density of states at the Fermi level is 0.39 states/eV per atom.

[8]
A relaxed structure of Te2Pb2S5. Source: the Alexandria database, functional PBE.

POSCAR file:
```
Te2Pb2S5
1.0
5.282 0.000 0.000
-2.641 8.653 -1.258
0.000 -2.082 6.352
S Pb Te
5 2 2
Direct
0.610 0.220 0.912
0.000 0.000 0.000
0.886 0.772 0.459
0.114 0.228 0.541
0.390 0.780 0.088
0.571 0.141 0.306
0.429 0.859 0.694
0.142 0.283 0.922
0.858 0.717 0.078
```

The space group is C2/m, No. 12. The uncorrected formation energy is -0.08 eV per atom. The calculation puts the magnetic moment at 0.00 μB/f.u. The density of states at the Fermi level is 0.19 states/eV per atom.